Entry 1:
A plane-wave DFT calculation with PBE was carried out for a geometry-optimized Pr8CuIr3Br4 structure.

Structure (POSCAR):
```
Pr8CuIr3Br4
1.0
4.2038 2.4270 7.8376
-4.2038 2.4270 7.8376
0.0000 -4.8541 7.8376
Pr Cu Ir Br
8 1 3 4
Direct
0.2251 0.7356 0.7356
0.2324 0.2324 0.2324
0.2644 0.2644 0.7749
0.2644 0.7749 0.2644
0.7356 0.2251 0.7356
0.7356 0.7356 0.2251
0.7676 0.7676 0.7676
0.7749 0.2644 0.2644
0.5000 0.5000 0.5000
0.0000 0.0000 0.5000
0.0000 0.5000 0.0000
0.5000 0.0000 0.0000
0.0000 0.0000 0.0000
0.0000 0.5000 0.5000
0.5000 0.0000 0.5000
0.5000 0.5000 0.0000
```

Summary:
The space group is R-3m, No. 166. The calculation puts the density of states at the Fermi level at 8.93 states/eV/f.u. For the theoretical density, the calculation gives 7223 kg/m³. For the raw formation energy, the calculation gives -15.8 eV/f.u. The value obtained for the energy is -0.4199 Ry/atom.



Entry 2:
A plane-wave DFT calculation with PBE was carried out for a geometry-optimized Pr4CuIrBr2 structure.

Structure (POSCAR):
```
Pr4CuIrBr2
1.0
7.2207 0.0000 0.0000
0.0000 4.2468 0.0000
-2.4625 0.0000 7.8029
Pr Cu Ir Br
4 1 1 2
Direct
0.2302 0.0000 0.1976
0.2575 0.5000 0.8007
0.7425 0.5000 0.1993
0.7698 0.0000 0.8024
0.5000 0.0000 0.0000
0.0000 0.5000 0.0000
0.0000 0.0000 0.5000
0.5000 0.5000 0.5000
```

Summary:
The space group is P2/m, No. 10. The calculation puts the density of states at the Fermi level at 6.46 states/eV/f.u. For the theoretical density, the calculation gives 6796 kg/m³. For the raw formation energy, the calculation gives -7.0 eV/f.u. The value obtained for the energy is -0.3895 Ry/atom.



Entry 3:
A plane-wave DFT calculation with PBE was carried out for a geometry-optimized Rb2CuIrBr6 structure.

Structure (POSCAR):
```
Rb2CuIrBr6
1.0
7.4138 0.0000 0.0000
0.0000 10.4244 0.0000
0.0000 0.0000 7.4142
Rb Cu Ir Br
4 2 2 12
Direct
0.2500 0.0000 0.2499
0.2500 0.5000 0.2499
0.7500 0.0000 0.7501
0.7500 0.5000 0.7501
0.2500 0.2500 0.7458
0.7500 0.7500 0.2542
0.2500 0.7500 0.7510
0.7500 0.2500 0.2490
0.0064 0.7500 0.9938
0.0069 0.7500 0.5069
0.2500 0.5050 0.7516
0.2500 0.9950 0.7516
0.4931 0.7500 0.5069
0.4936 0.7500 0.9938
0.5064 0.2500 0.0062
0.5069 0.2500 0.4931
0.7500 0.0050 0.2484
0.7500 0.4950 0.2484
0.9931 0.2500 0.4931
0.9936 0.2500 0.0062
```

Summary:
The space group is Pmmn, No. 59. The calculation puts the density of states at the Fermi level at 5.49 states/eV/f.u. For the theoretical density, the calculation gives 5252 kg/m³. For the raw formation energy, the calculation gives -7.8 eV/f.u. The value obtained for the energy is -0.2404 Ry/atom.



Entry 4:
A plane-wave DFT calculation with PBE was carried out for a geometry-optimized CuIrRuBr2 structure.

Structure (POSCAR):
```
CuIrRuBr2
1.0
4.6629 0.0000 0.0000
0.0000 4.6629 0.0000
0.0000 0.0000 4.9275
Cu Ir Ru Br
1 1 1 2
Direct
0.0000 0.0000 0.0000
0.0000 0.0000 0.5000
0.5000 0.5000 0.5000
0.0000 0.5000 0.0000
0.5000 0.0000 0.0000
```

Summary:
The space group is P4/mmm, No. 123. The calculation puts the density of states at the Fermi level at 4.67 states/eV/f.u. For the theoretical density, the calculation gives 8007 kg/m³. For the raw formation energy, the calculation gives 7.5 eV/f.u. The value obtained for the energy is -0.2661 Ry/atom.



Entry 5:
A plane-wave DFT calculation with PBE was carried out for a geometry-optimized CuIrSe2Br structure.

Structure (POSCAR):
```
CuIrSe2Br
1.0
4.8457 0.0000 0.0000
0.0000 4.8457 0.0000
0.0000 0.0000 5.3016
Cu Ir Se Br
1 1 2 1
Direct
0.0000 0.0000 0.0000
0.5000 0.5000 0.5000
0.0000 0.5000 0.5000
0.5000 0.0000 0.5000
0.5000 0.5000 0.0000
```

Summary:
The space group is P4/mmm, No. 123. The calculation puts the density of states at the Fermi level at 6.00 states/eV/f.u. For the theoretical density, the calculation gives 6584 kg/m³. For the raw formation energy, the calculation gives 3.4 eV/f.u. The distance to the lowest polymorph of the same formula comes out at 0 meV per atom. The value obtained for the energy is -0.2674 Ry/atom.



Entry 6:
A plane-wave DFT calculation with PBE was carried out for a geometry-optimized Sm8CuIr3Br4 structure.

Structure (POSCAR):
```
Sm8CuIr3Br4
1.0
4.1234 2.3807 7.7083
-4.1234 2.3807 7.7083
0.0000 -4.7613 7.7083
Sm Cu Ir Br
8 1 3 4
Direct
0.2248 0.7350 0.7350
0.2321 0.2321 0.2321
0.2650 0.2650 0.7752
0.2650 0.7752 0.2650
0.7350 0.2248 0.7350
0.7350 0.7350 0.2248
0.7679 0.7679 0.7679
0.7752 0.2650 0.2650
0.5000 0.5000 0.5000
0.0000 0.0000 0.5000
0.0000 0.5000 0.0000
0.5000 0.0000 0.0000
0.0000 0.0000 0.0000
0.0000 0.5000 0.5000
0.5000 0.0000 0.5000
0.5000 0.5000 0.0000
```

Summary:
The space group is R-3m, No. 166. The calculation puts the density of states at the Fermi level at 8.27 states/eV/f.u. For the theoretical density, the calculation gives 7910 kg/m³. For the raw formation energy, the calculation gives -16.1 eV/f.u. The value obtained for the energy is -0.4189 Ry/atom.



Entry 7:
A plane-wave DFT calculation with PBE was carried out for a geometry-optimized TlCuIrBr6 structure.

Structure (POSCAR):
```
TlCuIrBr6
1.0
6.6926 0.0000 0.0000
-3.3463 5.7959 0.0000
0.0000 0.0000 7.3603
Tl Cu Ir Br
1 1 1 6
Direct
0.0000 0.0000 0.0000
0.3333 0.6667 0.5000
0.6667 0.3333 0.5000
0.3715 0.0132 0.6931
0.3715 0.3583 0.3069
0.6417 0.0132 0.3069
0.6417 0.6285 0.6931
0.9868 0.3583 0.6931
0.9868 0.6285 0.3069
```

Summary:
The space group is P312, No. 149. The calculation puts the density of states at the Fermi level at 8.24 states/eV/f.u. For the theoretical density, the calculation gives 5464 kg/m³. For the raw formation energy, the calculation gives -3.3 eV/f.u. The value obtained for the energy is -0.2342 Ry/atom.



Entry 8:
A plane-wave DFT calculation with PBE was carried out for a geometry-optimized K2CuBr3 structure.

Structure (POSCAR):
```
K2CuBr3
1.0
9.4628 0.0000 0.0000
0.0000 4.4002 0.0000
0.0000 0.0000 18.0815
K Cu Br
8 4 12
Direct
0.0865 0.2500 0.2119
0.2397 0.7500 0.4551
0.2603 0.2500 0.9551
0.4135 0.7500 0.7119
0.5865 0.2500 0.2881
0.7397 0.7500 0.0449
0.7603 0.2500 0.5449
0.9135 0.7500 0.7881
0.1376 0.2500 0.6362
0.3624 0.7500 0.1362
0.6376 0.2500 0.8638
0.8624 0.7500 0.3638
0.0136 0.7500 0.6053
0.1347 0.7500 0.0703
0.1760 0.2500 0.7728
0.3240 0.7500 0.2728
0.3653 0.2500 0.5703
0.4864 0.2500 0.1053
0.5136 0.7500 0.8947
0.6347 0.7500 0.4297
0.6760 0.2500 0.7272
0.8240 0.7500 0.2272
0.8653 0.2500 0.9297
0.9864 0.2500 0.3947
```

Summary:
The space group is Pnma, No. 62. The calculation puts the density of states at the Fermi level at 0.00 states/eV/f.u. For the theoretical density, the calculation gives 3365 kg/m³. For the raw formation energy, the calculation gives -7.5 eV/f.u. The distance to the lowest polymorph of the same formula comes out at 3 meV per atom. The value obtained for the energy is -0.2300 Ry/atom.